Record 1
Below is AcYTm2 after structural relaxation, with properties calculated at the PBE level.

Cell lengths 3.6071, 5.5062, 14.0600 Å; angles 90.01, 97.32, 90.00 degrees
Positions (direct):
1 Ac 0.5825 0.6778 0.8761
2 Ac 0.4993 0.1778 0.7097
3 Y 0.7700 0.1778 0.2505
4 Y 0.3118 0.6778 0.3353
5 Tm 0.9286 0.6778 0.5686
6 Tm 0.7029 0.6778 0.1166
7 Tm 0.1532 0.1778 0.0172
8 Tm 0.3788 0.1779 0.4693

Relative energy among the computed polymorphs (meV/atom): 30
SG: P2_1/m (11)
Calculated formation energy (meV/atom): 99

=====

Record 2
Below is AcY8Tm5 after structural relaxation, with properties calculated at the PBE level.

Cell lengths 8.4724, 8.4724, 8.4724 Å; angles 110.61, 110.61, 107.22 degrees
Positions (direct):
1 Ac 0.2500 0.7500 0.5000
2 Y 0.0074 0.7749 0.0953
3 Y 0.2251 0.3204 0.2324
4 Y 0.6024 0.8241 0.4158
5 Y 0.1759 0.5917 0.7782
6 Y 0.8135 0.3976 0.2218
7 Y 0.0879 0.9926 0.7676
8 Y 0.6796 0.9121 0.9047
9 Y 0.4083 0.1865 0.5842
10 Tm 0.8696 0.2804 0.8151
11 Tm 0.7196 0.5348 0.5893
12 Tm 0.4652 0.0545 0.1849
13 Tm 0.5000 0.5000 0.0000
14 Tm 0.9455 0.1304 0.4107

SG: I-4 (82)
Calculated formation energy (meV/atom): 283

=====

Record 3
Below is AcY3Tm4 after structural relaxation, with properties calculated at the PBE level.

Cell lengths 3.5113, 6.6568, 12.0440 Å; angles 106.10, 98.38, 90.00 degrees
Positions (direct):
1 Y 0.0000 0.5000 0.0000
2 Y 0.1304 0.8824 0.2608
3 Y 0.8696 0.1176 0.7392
4 Ac 0.5000 0.0000 0.0000
5 Tm 0.7395 0.2486 0.4789
6 Tm 0.2605 0.7514 0.5211
7 Tm 0.1286 0.3740 0.2572
8 Tm 0.8714 0.6260 0.7428

SG: C2/m (12)
Calculated formation energy (meV/atom): 193

=====

Record 4
Below is Ac2Y8Tm3 after structural relaxation, with properties calculated at the PBE level.

Cell lengths 6.2375, 8.8516, 8.8516 Å; angles 83.31, 72.24, 72.24 degrees
Positions (direct):
1 Ac 0.3518 0.3001 0.3001
2 Ac 0.6482 0.6999 0.6999
3 Y 0.2269 0.5723 0.5723
4 Y 0.7731 0.4277 0.4277
5 Y 0.9536 0.1473 0.1473
6 Y 0.0464 0.8527 0.8527
7 Y 0.6675 0.5876 0.0881
8 Y 0.6675 0.0881 0.5876
9 Y 0.3325 0.9119 0.4124
10 Y 0.3325 0.4124 0.9119
11 Tm 0.5000 0.0000 0.0000
12 Tm 0.0000 0.2520 0.7480
13 Tm 0.0000 0.7480 0.2520

SG: C2/m (12)
Calculated formation energy (meV/atom): 213

=====

Record 5
Below is AcY3Tm after structural relaxation, with properties calculated at the PBE level.

Cell lengths 5.5389, 7.1273, 9.1121 Å; angles 90.00, 107.69, 90.00 degrees
Positions (direct):
1 Ac 0.3034 0.6600 0.6068
2 Ac 0.6966 0.1600 0.3932
3 Y 0.8991 0.4039 0.7981
4 Y 0.1009 0.9039 0.2019
5 Y 0.4970 0.1569 0.9941
6 Y 0.5030 0.6569 0.0059
7 Y 0.6939 0.6593 0.3877
8 Y 0.3061 0.1593 0.6123
9 Tm 0.8967 0.9139 0.7933
10 Tm 0.1033 0.4139 0.2067

Relative energy among the computed polymorphs (meV/atom): 0
SG: Cmc2_1 (36)
Calculated formation energy (meV/atom): 114

=====

Record 6
Below is AcY12Tm3 after structural relaxation, with properties calculated at the PBE level.

Cell lengths 5.0637, 5.0637, 20.3075 Å; angles 90.00, 90.00, 90.00 degrees
Positions (direct):
1 Ac 0.0000 0.0000 0.0000
2 Y 0.5000 0.5000 0.0000
3 Y 0.5000 0.5000 0.2551
4 Y 0.5000 0.5000 0.5000
5 Y 0.5000 0.5000 0.7449
6 Y 0.5000 0.0000 0.1318
7 Y 0.5000 0.0000 0.3772
8 Y 0.5000 0.0000 0.6228
9 Y 0.5000 0.0000 0.8682
10 Y 0.0000 0.5000 0.1318
11 Y 0.0000 0.5000 0.3772
12 Y 0.0000 0.5000 0.6228
13 Y 0.0000 0.5000 0.8682
14 Tm 0.0000 0.0000 0.2537
15 Tm 0.0000 0.0000 0.5000
16 Tm 0.0000 0.0000 0.7463

SG: P4/mmm (123)
Calculated formation energy (meV/atom): 37

=====

Record 7
Below is Ac7YTm2 after structural relaxation, with properties calculated at the PBE level.

Cell lengths 6.1139, 9.6312, 9.6312 Å; angles 63.43, 90.00, 90.00 degrees
Positions (direct):
1 Ac 0.0000 0.2417 0.2417
2 Ac 0.0000 0.7583 0.7583
3 Ac 0.5000 0.9383 0.3087
4 Ac 0.5000 0.0617 0.6913
5 Ac 0.5000 0.6913 0.0617
6 Ac 0.5000 0.3087 0.9383
7 Ac 0.5000 0.5000 0.5000
8 Y 0.0000 0.0000 0.0000
9 Tm 0.5000 0.2977 0.2977
10 Tm 0.5000 0.7023 0.7023

SG: Cmmm (65)
Calculated formation energy (meV/atom): 631

=====

Record 8
Below is AcYTm2 after structural relaxation, with properties calculated at the PBE level.

Cell lengths 5.7941, 5.7941, 5.7941 Å; angles 60.00, 60.00, 60.00 degrees
Positions (direct):
1 Y 0.5000 0.5000 0.5000
2 Ac 0.0000 0.0000 0.0000
3 Tm 0.2500 0.2500 0.2500
4 Tm 0.7500 0.7500 0.7500

Relative energy among the computed polymorphs (meV/atom): 45
SG: Fm-3m (225)
Calculated formation energy (meV/atom): 115

=====

Record 9
Below is AcY2Tm after structural relaxation, with properties calculated at the PBE level.

Cell lengths 5.2235, 5.1467, 5.1467 Å; angles 90.00, 90.00, 90.00 degrees
Positions (direct):
1 Y 0.0000 0.0000 0.5000
2 Y 0.0000 0.5000 0.0000
3 Ac 0.5000 0.0000 0.0000
4 Tm 0.5000 0.5000 0.5000

Relative energy among the computed polymorphs (meV/atom): 20
SG: P4/mmm (123)
Calculated formation energy (meV/atom): 64

=====

Record 10
Below is Ac3Y6Tm2 after structural relaxation, with properties calculated at the PBE level.

Cell lengths 6.8100, 6.3722, 25.3986 Å; angles 54.21, 83.15, 63.90 degrees
Positions (direct):
1 Ac 0.9606 0.9466 0.7050
2 Ac 0.3825 0.1823 0.7427
3 Ac 0.8039 0.3645 0.7953
4 Ac 0.1961 0.6355 0.2047
5 Ac 0.0394 0.0534 0.2950
6 Ac 0.6175 0.8177 0.2573
7 Y 0.2817 0.6733 0.9359
8 Y 0.3122 0.3408 0.8608
9 Y 0.8054 0.6574 0.8982
10 Y 0.0649 0.3656 0.3975
11 Y 0.5786 0.2750 0.4479
12 Y 0.5683 0.9387 0.3844
13 Y 0.7183 0.3267 0.0641
14 Y 0.6878 0.6592 0.1392
15 Y 0.1946 0.3426 0.1018
16 Y 0.9351 0.6344 0.6025
17 Y 0.4214 0.7250 0.5521
18 Y 0.4317 0.0613 0.6156
19 Tm 0.2398 0.9964 0.0224
20 Tm 0.8927 0.2854 0.5359
21 Tm 0.7602 0.0036 0.9776
22 Tm 0.1073 0.7146 0.4641

SG: P-1 (2)
Calculated formation energy (meV/atom): 89

=====

Record 11
Below is AcY2Tm after structural relaxation, with properties calculated at the PBE level.

Cell lengths 3.6891, 3.6891, 11.9625 Å; angles 81.13, 81.13, 60.00 degrees
Positions (direct):
1 Ac 0.5005 0.5005 0.4986
2 Y 0.0790 0.0790 0.7631
3 Y 0.2543 0.2543 0.2371
4 Tm 0.6663 0.6663 0.0012

Relative energy among the computed polymorphs (meV/atom): 22
SG: R3m (160)
Calculated formation energy (meV/atom): 66

=====

Record 12
Below is Ac2Y5Tm4 after structural relaxation, with properties calculated at the PBE level.

Cell lengths 3.5026, 8.8613, 12.2996 Å; angles 96.13, 98.19, 90.00 degrees
Positions (direct):
1 Ac 0.9084 0.2565 0.8169
2 Ac 0.0916 0.7435 0.1831
3 Y 0.1427 0.1313 0.2853
4 Y 0.8573 0.8687 0.7147
5 Y 0.2348 0.8244 0.4696
6 Y 0.5000 0.0000 0.0000
7 Y 0.7652 0.1756 0.5304
8 Tm 0.6793 0.4740 0.3587
9 Tm 0.0485 0.3587 0.0971
10 Tm 0.3207 0.5260 0.6413
11 Tm 0.9515 0.6413 0.9029

SG: C2/m (12)
Calculated formation energy (meV/atom): 191

=====

Record 13
Below is Ac2Y5Tm after structural relaxation, with properties calculated at the PBE level.

Cell lengths 5.2390, 5.2390, 10.8292 Å; angles 104.00, 104.00, 90.00 degrees
Positions (direct):
1 Ac 0.7500 0.7500 0.5000
2 Ac 0.2500 0.2500 0.5000
3 Y 0.5000 0.5000 0.0000
4 Y 0.3819 0.8819 0.7639
5 Y 0.8819 0.3819 0.7639
6 Y 0.6181 0.1181 0.2361
7 Y 0.1181 0.6181 0.2361
8 Tm 0.0000 0.0000 0.0000

SG: I4/mmm (139)
Calculated formation energy (meV/atom): 60

=====

Record 14
Below is AcY6Tm after structural relaxation, with properties calculated at the PBE level.

Cell lengths 6.8458, 6.7305, 6.8914 Å; angles 83.08, 60.01, 84.42 degrees
Positions (direct):
1 Ac 0.0000 0.0000 0.0000
2 Y 0.0507 0.7401 0.5222
3 Y 0.5495 0.7232 0.5439
4 Y 0.4505 0.2768 0.4561
5 Y 0.9493 0.2599 0.4778
6 Y 0.5250 0.7379 0.0421
7 Y 0.4750 0.2621 0.9579
8 Tm 0.0000 0.5000 0.0000

Relative energy among the computed polymorphs (meV/atom): 62
SG: P-1 (2)
Calculated formation energy (meV/atom): 214

=====

Record 15
Below is AcY7Tm3 after structural relaxation, with properties calculated at the PBE level.

Cell lengths 9.9053, 9.9053, 8.9454 Å; angles 90.00, 90.00, 119.13 degrees
Positions (direct):
1 Ac 0.5000 0.5000 0.0000
2 Ac 0.5000 0.5000 0.5000
3 Y 0.0937 0.7590 0.2500
4 Y 0.2410 0.9063 0.7500
5 Y 0.0895 0.3991 0.4265
6 Y 0.0895 0.3991 0.0735
7 Y 0.6009 0.9105 0.9265
8 Y 0.6009 0.9105 0.5735
9 Y 0.2390 0.2390 0.7500
10 Y 0.7610 0.7610 0.2500
11 Y 0.3991 0.0895 0.0735
12 Y 0.3991 0.0895 0.4265
13 Y 0.9105 0.6009 0.9265
14 Y 0.9105 0.6009 0.5735
15 Y 0.7590 0.0937 0.2500
16 Y 0.9063 0.2410 0.7500
17 Tm 0.2550 0.5938 0.7500
18 Tm 0.0000 0.0000 0.0000
19 Tm 0.0000 0.0000 0.5000
20 Tm 0.4062 0.7450 0.2500
21 Tm 0.5938 0.2550 0.7500
22 Tm 0.7450 0.4062 0.2500

Relative energy among the computed polymorphs (meV/atom): 0
SG: Cmcm (63)
Calculated formation energy (meV/atom): 293

=====

Record 16
Below is Ac2Y6Tm5 after structural relaxation, with properties calculated at the PBE level.

Cell lengths 3.6366, 11.9403, 20.2541 Å; angles 90.00, 90.00, 90.00 degrees
Positions (direct):
1 Ac 0.0000 0.3427 0.2794
2 Ac 0.0000 0.6573 0.7206
3 Ac 0.0000 0.8427 0.2206
4 Ac 0.0000 0.1573 0.7794
5 Y 0.0000 0.0794 0.3636
6 Y 0.0000 0.9206 0.6364
7 Y 0.0000 0.5794 0.1364
8 Y 0.0000 0.4206 0.8636
9 Y 0.5000 0.3194 0.1173
10 Y 0.5000 0.6806 0.8827
11 Y 0.5000 0.8194 0.3827
12 Y 0.5000 0.1806 0.6173
13 Y 0.0000 0.5579 0.4239
14 Y 0.0000 0.4421 0.5761
15 Y 0.0000 0.0579 0.0761
16 Y 0.0000 0.9421 0.9239
17 Tm 0.5000 0.3000 0.4491
18 Tm 0.5000 0.7000 0.5509
19 Tm 0.5000 0.8000 0.0509
20 Tm 0.5000 0.2000 0.9491
21 Tm 0.5000 0.6040 0.2810
22 Tm 0.5000 0.3960 0.7190
23 Tm 0.5000 0.1040 0.2190
24 Tm 0.5000 0.8960 0.7810
25 Tm 0.5000 0.5000 0.0000
26 Tm 0.5000 0.0000 0.5000

SG: Pbam (55)
Calculated formation energy (meV/atom): 123

=====

Record 17
Below is AcY5Tm2 after structural relaxation, with properties calculated at the PBE level.

Cell lengths 7.2249, 7.2266, 20.2248 Å; angles 90.00, 90.00, 90.00 degrees
Positions (direct):
1 Ac 0.0000 0.2517 0.8764
2 Ac 0.0000 0.7483 0.1236
3 Ac 0.0000 0.2483 0.3764
4 Ac 0.0000 0.7517 0.6236
5 Y 0.7430 0.0000 0.0000
6 Y 0.2570 0.5000 0.5000
7 Y 0.2570 0.0000 0.0000
8 Y 0.7430 0.5000 0.5000
9 Y 0.0000 0.2492 0.6241
10 Y 0.0000 0.7508 0.3759
11 Y 0.0000 0.2508 0.1241
12 Y 0.0000 0.7492 0.8759
13 Y 0.5000 0.2489 0.6245
14 Y 0.5000 0.7511 0.3755
15 Y 0.5000 0.2511 0.1245
16 Y 0.5000 0.7489 0.8755
17 Y 0.7439 0.5004 0.7497
18 Y 0.7439 0.4996 0.2503
19 Y 0.2561 0.9996 0.2497
20 Y 0.2561 0.0004 0.7503
21 Y 0.2561 0.4996 0.2503
22 Y 0.2561 0.5004 0.7497
23 Y 0.7439 0.0004 0.7503
24 Y 0.7439 0.9996 0.2497
25 Tm 0.7419 0.0000 0.5000
26 Tm 0.2581 0.5000 0.0000
27 Tm 0.2581 0.0000 0.5000
28 Tm 0.7419 0.5000 0.0000
29 Tm 0.5000 0.7521 0.6244
30 Tm 0.5000 0.2479 0.3756
31 Tm 0.5000 0.7479 0.1244
32 Tm 0.5000 0.2521 0.8756

SG: Pbam (55)
Calculated formation energy (meV/atom): 40

=====

Record 18
Below is AcY4Tm7 after structural relaxation, with properties calculated at the PBE level.

Cell lengths 6.0138, 11.3938, 6.8011 Å; angles 83.07, 63.76, 74.70 degrees
Positions (direct):
1 Ac 0.0000 0.0000 0.0000
2 Y 0.6205 0.2245 0.5346
3 Y 0.3795 0.7755 0.4654
4 Y 0.7246 0.6923 0.8585
5 Y 0.2754 0.3077 0.1415
6 Tm 0.7846 0.9174 0.5133
7 Tm 0.2154 0.0826 0.4867
8 Tm 0.0416 0.6332 0.2835
9 Tm 0.9584 0.3668 0.7165
10 Tm 0.3577 0.5188 0.7658
11 Tm 0.5000 0.0000 0.0000
12 Tm 0.6423 0.4812 0.2342

SG: C2/m (12)
Calculated formation energy (meV/atom): 318

=====

Record 19
Below is Ac2YTm after structural relaxation, with properties calculated at the PBE level.

Cell lengths 3.6954, 3.6954, 13.2225 Å; angles 81.97, 81.97, 60.00 degrees
Positions (direct):
1 Y 0.5000 0.5000 0.5000
2 Ac 0.0880 0.0880 0.7359
3 Ac 0.9120 0.9120 0.2641
4 Tm 0.0000 0.0000 0.0000

Relative energy among the computed polymorphs (meV/atom): 213
SG: R-3m (166)
Calculated formation energy (meV/atom): 264

=====

Record 20
Below is AcYTm2 after structural relaxation, with properties calculated at the PBE level.

Cell lengths 5.0864, 5.1769, 5.1769 Å; angles 90.00, 90.00, 90.00 degrees
Site moments in Bohr magnetons follow the coordinates.
Positions (direct):
1 Y 0.5000 0.0000 0.0000  0.04
2 Ac 0.5000 0.5000 0.5000  0.00
3 Tm 0.0000 0.0000 0.5000  0.06
4 Tm 0.0000 0.5000 0.0000  0.06

Relative energy among the computed polymorphs (meV/atom): 3
SG: P4/mmm (123)
Calculated formation energy (meV/atom): 72

=====

Record 21
Below is AcYTm2 after structural relaxation, with properties calculated at the PBE level.

Cell lengths 3.6715, 3.6715, 11.8890 Å; angles 81.12, 81.12, 60.00 degrees
Positions (direct):
1 Ac 0.5005 0.5005 0.4986
2 Y 0.6662 0.6662 0.0013
3 Tm 0.0795 0.0795 0.7614
4 Tm 0.2537 0.2537 0.2388

Relative energy among the computed polymorphs (meV/atom): 11
SG: R3m (160)
Calculated formation energy (meV/atom): 80